1.
# La4Pm2NdDy2, relaxed, DFT PBE
data_La4Pm2NdDy2
_space_group_name_H-M_alt 'C 1 2/m 1'
_space_group_IT_number 12
_cell_length_a 15.579
_cell_length_b 5.220
_cell_length_c 8.170
_cell_angle_alpha 90.00
_cell_angle_beta 108.32
_cell_angle_gamma 90.00
loop_
_space_group_symop_operation_xyz
'x,y,z'
'-x,-y,-z'
'-x,y,-z'
'x,-y,z'
'x+1/2,y+1/2,z'
'-x+1/2,-y+1/2,-z'
'-x+1/2,y+1/2,-z'
'x+1/2,-y+1/2,z'
loop_
_atom_site_label
_atom_site_type_symbol
_atom_site_fract_x
_atom_site_fract_y
_atom_site_fract_z
La1 La 0.055 0.000 0.330
La2 La 0.224 0.500 0.331
Pm1 Pm 0.112 0.500 0.670
Nd1 Nd 0.000 0.500 0.000
Dy1 Dy 0.168 0.000 0.999
# - Crystal system: monoclinic
# - N(E_F): 16.0 states/eV/f.u.
# - Formation energy: 0.02 eV/atom
# - E: -43.0 eV/f.u.


2.
# LaPm4NdDy2, relaxed, DFT PBE
data_LaPm4NdDy2
_space_group_name_H-M_alt 'P 1 2/m 1'
_space_group_IT_number 10
_cell_length_a 6.278
_cell_length_b 3.649
_cell_length_c 12.121
_cell_angle_alpha 90.00
_cell_angle_beta 100.11
_cell_angle_gamma 90.00
loop_
_space_group_symop_operation_xyz
'x,y,z'
'-x,-y,-z'
'-x,y,-z'
'x,-y,z'
loop_
_atom_site_label
_atom_site_type_symbol
_atom_site_fract_x
_atom_site_fract_y
_atom_site_fract_z
La1 La 0.000 0.000 0.000
Pm1 Pm 0.251 0.500 0.252
Pm2 Pm 0.252 0.000 0.750
Nd1 Nd 0.000 0.500 0.500
Dy1 Dy 0.500 0.000 0.500
Dy2 Dy 0.500 0.500 0.000
# - Crystal system: monoclinic
# - N(E_F): 12.3 states/eV/f.u.
# - Formation energy: 0.02 eV/atom
# - E: -37.8 eV/f.u.


3.
# La2PmNdDy, relaxed, DFT PBE
data_La2PmNdDy
_space_group_name_H-M_alt 'P m m a'
_space_group_IT_number 51
_cell_length_a 6.532
_cell_length_b 7.960
_cell_length_c 6.852
_cell_angle_alpha 90.00
_cell_angle_beta 90.00
_cell_angle_gamma 90.00
loop_
_space_group_symop_operation_xyz
'x,y,z'
'-x,-y,-z'
'-x+1/2,-y,z'
'x+1/2,y,-z'
'x+1/2,-y,-z'
'-x+1/2,y,z'
'-x,y,-z'
'x,-y,z'
loop_
_atom_site_label
_atom_site_type_symbol
_atom_site_fract_x
_atom_site_fract_y
_atom_site_fract_z
La1 La 0.250 0.204 0.207
Pm1 Pm 0.250 0.500 0.910
Nd1 Nd 0.250 0.000 0.682
Dy1 Dy 0.000 0.500 0.500
# - Crystal system: orthorhombic
# - N(E_F): 6.8 states/eV/f.u.
# - Formation energy: 0.21 eV/atom
# - E: -22.9 eV/f.u.


4.
# La2Pm4Nd2Dy, relaxed, DFT PBE
data_La2Pm4Nd2Dy
_space_group_name_H-M_alt 'C 1 2/m 1'
_space_group_IT_number 12
_cell_length_a 19.190
_cell_length_b 3.702
_cell_length_c 9.833
_cell_angle_alpha 90.00
_cell_angle_beta 115.64
_cell_angle_gamma 90.00
loop_
_space_group_symop_operation_xyz
'x,y,z'
'-x,-y,-z'
'-x,y,-z'
'x,-y,z'
'x+1/2,y+1/2,z'
'-x+1/2,-y+1/2,-z'
'-x+1/2,y+1/2,-z'
'x+1/2,-y+1/2,z'
loop_
_atom_site_label
_atom_site_type_symbol
_atom_site_fract_x
_atom_site_fract_y
_atom_site_fract_z
La1 La 0.165 0.000 0.499
Pm1 Pm 0.019 0.000 0.831
Pm2 Pm 0.185 0.500 0.834
Nd1 Nd 0.147 0.500 0.166
Dy1 Dy 0.000 0.500 0.500
# - Crystal system: monoclinic
# - N(E_F): 12.7 states/eV/f.u.
# - Formation energy: 0.01 eV/atom
# - E: -42.9 eV/f.u.